Entry 1:
! PmEuGdZn (PBE, relaxed); values from VASP
! E_form ... 0.056 eV/atom
! Raw total energy ... -7.539 eV per atom
&SYSTEM
  ibrav = 0, nat = 4, ntyp = 4
/
ATOMIC_SPECIES
Eu 151.96 Eu.upf
Zn 65.41 Zn.upf
Gd 157.25 Gd.upf
Pm 145.00 Pm.upf
CELL_PARAMETERS angstrom
5.460 0.000 0.000
2.730 4.728 0.000
2.730 1.576 4.458
ATOMIC_POSITIONS angstrom
Eu 5.460 3.152 2.229
Zn 0.000 0.000 0.000
Gd 2.730 1.576 1.114
Pm 8.190 4.728 3.343


Entry 2:
! PrEuGd4 (PBE, relaxed); values from VASP
! E_form ... 0.236 eV/atom
! Raw total energy ... -11.660 eV per atom
&SYSTEM
  ibrav = 0, nat = 6, ntyp = 3
/
ATOMIC_SPECIES
Eu 151.96 Eu.upf
Pr 140.91 Pr.upf
Gd 157.25 Gd.upf
CELL_PARAMETERS angstrom
-0.494 6.608 -1.287
-2.415 4.186 4.713
4.133 4.357 3.083
ATOMIC_POSITIONS angstrom
Eu 0.306 3.788 1.627
Pr 0.000 0.000 0.000
Gd -1.320 7.288 2.520
Gd 1.986 7.375 1.696
Gd 0.767 9.488 4.076
Gd 1.016 6.152 4.726


Entry 3:
! PrEuGd (PBE, relaxed); values from VASP
! E_form ... 0.034 eV/atom
! Excess energy over the best structure of this formula in the dataset ... 0 meV/atom
! Raw total energy ... -9.678 eV per atom
&SYSTEM
  ibrav = 0, nat = 3, ntyp = 3
/
ATOMIC_SPECIES
Eu 151.96 Eu.upf
Pr 140.91 Pr.upf
Gd 157.25 Gd.upf
CELL_PARAMETERS angstrom
3.704 0.000 0.000
0.000 3.704 0.000
-1.852 -1.852 7.903
ATOMIC_POSITIONS angstrom
Eu 1.852 1.852 7.866
Pr 1.852 1.852 2.755
Gd 0.000 0.000 5.185


Entry 4:
! PrEuGd2 (PBE, relaxed); values from VASP
! E_form ... 0.127 eV/atom
! Excess energy over the best structure of this formula in the dataset ... 66 meV/atom
! Raw total energy ... -10.677 eV per atom
&SYSTEM
  ibrav = 0, nat = 4, ntyp = 3
/
ATOMIC_SPECIES
Eu 151.96 Eu.upf
Pr 140.91 Pr.upf
Gd 157.25 Gd.upf
CELL_PARAMETERS angstrom
-4.309 1.134 3.767
-0.053 -2.578 5.234
1.074 3.130 4.805
ATOMIC_POSITIONS angstrom
Eu -1.644 0.843 6.903
Pr 0.000 0.000 0.000
Gd -0.822 0.421 3.451
Gd -2.466 1.264 10.354


Entry 5:
! PrEuGd2 (PBE, relaxed); values from VASP
! E_form ... 0.113 eV/atom
! Excess energy over the best structure of this formula in the dataset ... 52 meV/atom
! Raw total energy ... -10.691 eV per atom
&SYSTEM
  ibrav = 0, nat = 4, ntyp = 3
/
ATOMIC_SPECIES
Eu 151.96 Eu.upf
Pr 140.91 Pr.upf
Gd 157.25 Gd.upf
CELL_PARAMETERS angstrom
-1.198 1.374 3.342
-2.266 -5.445 1.427
5.295 -1.540 2.532
ATOMIC_POSITIONS angstrom
Eu 0.916 -2.805 3.650
Pr -0.599 0.687 1.671
Gd 2.648 -0.770 1.266
Gd -1.133 -2.723 0.713


Entry 6:
! PrEuGd2 (PBE, relaxed); values from VASP
! E_form ... 0.062 eV/atom
! Excess energy over the best structure of this formula in the dataset ... 0 meV/atom
! Raw total energy ... -10.742 eV per atom
&SYSTEM
  ibrav = 0, nat = 4, ntyp = 3
/
ATOMIC_SPECIES
Eu 151.96 Eu.upf
Pr 140.91 Pr.upf
Gd 157.25 Gd.upf
CELL_PARAMETERS angstrom
3.669 0.000 0.000
0.000 3.669 0.000
0.000 0.000 10.510
ATOMIC_POSITIONS angstrom
Eu 1.834 1.834 0.000
Pr 1.834 1.834 5.255
Gd 0.000 0.000 7.744
Gd 0.000 0.000 2.766


Entry 7:
! PrEuGd (PBE, relaxed); values from VASP
! E_form ... 0.038 eV/atom
! Excess energy over the best structure of this formula in the dataset ... 4 meV/atom
! Raw total energy ... -9.673 eV per atom
&SYSTEM
  ibrav = 0, nat = 3, ntyp = 3
/
ATOMIC_SPECIES
Eu 151.96 Eu.upf
Pr 140.91 Pr.upf
Gd 157.25 Gd.upf
CELL_PARAMETERS angstrom
-0.854 2.406 -2.679
-2.634 -1.231 2.291
1.703 6.933 5.684
ATOMIC_POSITIONS angstrom
Eu 0.007 0.027 0.022
Pr -0.925 4.525 4.359
Gd -0.867 3.557 0.915


Entry 8:
! PrSmEuGd (PBE, relaxed); values from VASP
! E_form ... 0.119 eV/atom
! Raw total energy ... -8.345 eV per atom
&SYSTEM
  ibrav = 0, nat = 4, ntyp = 4
/
ATOMIC_SPECIES
Eu 151.96 Eu.upf
Pr 140.91 Pr.upf
Gd 157.25 Gd.upf
Sm 150.36 Sm.upf
CELL_PARAMETERS angstrom
-4.421 -3.485 -1.616
-0.700 -1.418 -5.639
1.087 -5.465 -1.802
ATOMIC_POSITIONS angstrom
Eu 0.000 0.000 0.000
Pr -3.025 -7.776 -6.792
Gd -2.017 -5.184 -4.528
Sm -1.008 -2.592 -2.264


Entry 9:
! PrEuGdSn (PBE, relaxed); values from VASP
! E_form ... -0.281 eV/atom
! Raw total energy ... -8.565 eV per atom
&SYSTEM
  ibrav = 0, nat = 4, ntyp = 4
/
ATOMIC_SPECIES
Eu 151.96 Eu.upf
Pr 140.91 Pr.upf
Gd 157.25 Gd.upf
Sn 118.71 Sn.upf
CELL_PARAMETERS angstrom
-3.572 1.316 -4.059
-5.466 0.128 1.037
-2.693 4.867 0.134
ATOMIC_POSITIONS angstrom
Eu -8.798 4.733 -2.167
Pr 0.000 0.000 0.000
Gd -5.865 3.156 -1.444
Sn -2.933 1.578 -0.722


Entry 10:
! PrEuGdTm (PBE, relaxed); values from VASP
! E_form ... 0.132 eV/atom
! Raw total energy ... -8.270 eV per atom
&SYSTEM
  ibrav = 0, nat = 4, ntyp = 4
/
ATOMIC_SPECIES
Gd 157.25 Gd.upf
Eu 151.96 Eu.upf
Pr 140.91 Pr.upf
Tm 168.93 Tm.upf
CELL_PARAMETERS angstrom
5.806 0.000 0.000
2.903 5.028 0.000
2.903 1.676 4.740
ATOMIC_POSITIONS angstrom
Gd 2.903 1.676 1.185
Eu 0.000 0.000 0.000
Pr 8.708 5.028 3.555
Tm 5.806 3.352 2.370


Entry 11:
! Eu2GdPt (PBE, relaxed); values from VASP
! E_form ... -0.418 eV/atom
! Excess energy over the best structure of this formula in the dataset ... 0 meV/atom
! Raw total energy ... -10.586 eV per atom
&SYSTEM
  ibrav = 0, nat = 4, ntyp = 3
/
ATOMIC_SPECIES
Eu 151.96 Eu.upf
Gd 157.25 Gd.upf
Pt 195.08 Pt.upf
CELL_PARAMETERS angstrom
3.636 0.000 0.000
0.000 3.636 0.000
0.000 0.000 9.159
ATOMIC_POSITIONS angstrom
Eu 0.000 0.000 1.703
Eu 0.000 0.000 7.456
Gd 1.818 1.818 4.579
Pt 1.818 1.818 0.000


Entry 12:
! Eu2GdPt (PBE, relaxed); values from VASP
! E_form ... -0.152 eV/atom
! Excess energy over the best structure of this formula in the dataset ... 266 meV/atom
! Raw total energy ... -10.319 eV per atom
&SYSTEM
  ibrav = 0, nat = 4, ntyp = 3
/
ATOMIC_SPECIES
Eu 151.96 Eu.upf
Gd 157.25 Gd.upf
Pt 195.08 Pt.upf
CELL_PARAMETERS angstrom
-0.040 -1.948 -4.912
3.162 -4.040 -1.266
-2.068 -4.783 -0.929
ATOMIC_POSITIONS angstrom
Eu 0.262 -2.694 -1.776
Eu 0.792 -8.077 -5.331
Gd 0.000 0.000 0.000
Pt 0.527 -5.386 -3.554


Entry 13:
! EuGd2Pt (PBE, relaxed); values from VASP
! E_form ... 0.158 eV/atom
! Raw total energy ... -10.961 eV per atom
&SYSTEM
  ibrav = 0, nat = 4, ntyp = 3
/
ATOMIC_SPECIES
Eu 151.96 Eu.upf
Gd 157.25 Gd.upf
Pt 195.08 Pt.upf
CELL_PARAMETERS angstrom
-0.384 2.209 2.623
0.748 -0.996 3.218
10.926 3.959 0.534
ATOMIC_POSITIONS angstrom
Eu 5.645 2.586 3.187
Gd 8.445 3.143 0.859
Gd 2.846 2.029 5.516
Pt 0.000 0.000 0.000


Entry 14:
! EuGd3Pt (PBE, relaxed); values from VASP
! E_form ... -0.394 eV/atom
! Raw total energy ... -12.106 eV per atom
&SYSTEM
  ibrav = 0, nat = 5, ntyp = 3
/
ATOMIC_SPECIES
Eu 151.96 Eu.upf
Gd 157.25 Gd.upf
Pt 195.08 Pt.upf
CELL_PARAMETERS angstrom
5.596 0.000 0.000
0.000 5.596 0.000
0.000 0.000 5.596
ATOMIC_POSITIONS angstrom
Eu 2.798 2.798 2.798
Gd 0.000 2.798 0.000
Gd 0.000 0.000 2.798
Gd 2.798 0.000 0.000
Pt 0.000 0.000 0.000


Entry 15:
! EuGdPt2 (PBE, relaxed); values from VASP
! E_form ... -1.032 eV/atom
! Raw total energy ... -10.141 eV per atom
&SYSTEM
  ibrav = 0, nat = 4, ntyp = 3
/
ATOMIC_SPECIES
Eu 151.96 Eu.upf
Gd 157.25 Gd.upf
Pt 195.08 Pt.upf
CELL_PARAMETERS angstrom
3.533 0.000 0.000
0.000 5.032 0.000
0.000 0.000 5.032
ATOMIC_POSITIONS angstrom
Eu 1.766 2.516 2.516
Gd 1.766 0.000 0.000
Pt 0.000 0.000 2.516
Pt 0.000 2.516 0.000


Entry 16:
! Eu2GdPu (PBE, relaxed); values from VASP
! E_form ... 0.235 eV/atom
! Raw total energy ... -12.006 eV per atom
&SYSTEM
  ibrav = 0, nat = 4, ntyp = 3
/
ATOMIC_SPECIES
Eu 151.96 Eu.upf
Gd 157.25 Gd.upf
Pu 244.00 Pu.upf
CELL_PARAMETERS angstrom
-1.193 -2.931 -1.682
2.139 -2.852 -0.366
-3.808 -6.397 10.027
ATOMIC_POSITIONS angstrom
Eu -2.154 -9.142 6.002
Eu -0.708 -3.037 1.976
Gd -1.431 -6.090 3.989
Pu 0.000 0.000 0.000


Entry 17:
! EuGdPu (PBE, relaxed); values from VASP
! E_form ... 0.191 eV/atom
! Raw total energy ... -12.705 eV per atom
&SYSTEM
  ibrav = 0, nat = 3, ntyp = 3
/
ATOMIC_SPECIES
Eu 151.96 Eu.upf
Gd 157.25 Gd.upf
Pu 244.00 Pu.upf
CELL_PARAMETERS angstrom
-2.188 -2.804 0.225
1.491 -1.398 -2.919
5.582 -1.624 5.803
ATOMIC_POSITIONS angstrom
Eu 0.054 -0.039 0.046
Gd 3.377 -2.404 2.875
Pu 1.454 -3.383 0.187


Entry 18:
! EuGdPuSn (PBE, relaxed); values from VASP
! E_form ... -0.179 eV/atom
! Raw total energy ... -10.851 eV per atom
&SYSTEM
  ibrav = 0, nat = 4, ntyp = 4
/
ATOMIC_SPECIES
Eu 151.96 Eu.upf
Gd 157.25 Gd.upf
Sn 118.71 Sn.upf
Pu 244.00 Pu.upf
CELL_PARAMETERS angstrom
5.510 0.000 0.000
2.755 4.771 0.000
2.755 1.590 4.498
ATOMIC_POSITIONS angstrom
Eu 0.000 0.000 0.000
Gd 5.510 3.181 2.249
Sn 2.755 1.590 1.125
Pu 8.264 4.771 3.374


Entry 19:
! RbEu2Gd (PBE, relaxed); values from VASP
! E_form ... 0.201 eV/atom
! Raw total energy ... -8.699 eV per atom
&SYSTEM
  ibrav = 0, nat = 4, ntyp = 3
/
ATOMIC_SPECIES
Eu 151.96 Eu.upf
Gd 157.25 Gd.upf
Rb 85.47 Rb.upf
CELL_PARAMETERS angstrom
-1.419 2.805 2.286
0.933 0.091 3.772
10.996 9.020 -0.936
ATOMIC_POSITIONS angstrom
Eu 7.777 6.696 -0.083
Eu 2.733 5.220 5.205
Gd 5.255 5.958 2.561
Rb 0.000 0.000 0.000


Entry 20:
! EuGd2Rh (PBE, relaxed); values from VASP
! E_form ... -0.369 eV/atom
! Raw total energy ... -11.816 eV per atom
&SYSTEM
  ibrav = 0, nat = 4, ntyp = 3
/
ATOMIC_SPECIES
Eu 151.96 Eu.upf
Gd 157.25 Gd.upf
Rh 102.91 Rh.upf
CELL_PARAMETERS angstrom
3.548 0.000 0.000
0.000 3.548 0.000
0.000 0.000 9.201
ATOMIC_POSITIONS angstrom
Eu 1.774 1.774 4.600
Gd 0.000 0.000 7.575
Gd 0.000 0.000 1.626
Rh 1.774 1.774 0.000


Entry 21:
! EuGdRu (PBE, relaxed); values from VASP
! E_form ... 0.010 eV/atom
! Excess energy over the best structure of this formula in the dataset ... 127 meV/atom
! Raw total energy ... -11.200 eV per atom
&SYSTEM
  ibrav = 0, nat = 3, ntyp = 3
/
ATOMIC_SPECIES
Eu 151.96 Eu.upf
Ru 101.07 Ru.upf
Gd 157.25 Gd.upf
CELL_PARAMETERS angstrom
-2.455 4.161 0.510
-2.654 1.722 -3.687
-4.851 -0.058 0.264
ATOMIC_POSITIONS angstrom
Eu -4.980 2.912 -1.457
Ru -2.490 1.456 -0.728
Gd 0.000 0.000 0.000


Entry 22:
! EuGdRu (PBE, relaxed); values from VASP
! E_form ... -0.117 eV/atom
! Excess energy over the best structure of this formula in the dataset ... 0 meV/atom
! Raw total energy ... -11.327 eV per atom
&SYSTEM
  ibrav = 0, nat = 3, ntyp = 3
/
ATOMIC_SPECIES
Eu 151.96 Eu.upf
Ru 101.07 Ru.upf
Gd 157.25 Gd.upf
CELL_PARAMETERS angstrom
-2.739 -2.143 -0.236
1.843 -2.525 1.542
-1.649 4.371 5.192
ATOMIC_POSITIONS angstrom
Eu -0.141 0.137 0.392
Ru -1.185 -1.618 2.707
Gd -1.219 1.184 3.398


Entry 23:
! EuGd3Ru (PBE, relaxed); values from VASP
! E_form ... -0.141 eV/atom
! Raw total energy ... -12.499 eV per atom
&SYSTEM
  ibrav = 0, nat = 5, ntyp = 3
/
ATOMIC_SPECIES
Eu 151.96 Eu.upf
Ru 101.07 Ru.upf
Gd 157.25 Gd.upf
CELL_PARAMETERS angstrom
5.488 0.000 0.000
0.000 5.488 0.000
0.000 0.000 5.488
ATOMIC_POSITIONS angstrom
Eu 2.744 2.744 2.744
Ru 0.000 0.000 0.000
Gd 0.000 2.744 0.000
Gd 0.000 0.000 2.744
Gd 2.744 0.000 0.000


Entry 24:
! EuGd2S (PBE, relaxed); values from VASP
! Formation energy without anion corrections ... -3.703 eV per formula unit
! Raw total energy ... -11.567 eV per atom
&SYSTEM
  ibrav = 0, nat = 4, ntyp = 3
/
ATOMIC_SPECIES
Eu 151.96 Eu.upf
S 32.06 S.upf
Gd 157.25 Gd.upf
CELL_PARAMETERS angstrom
-2.710 2.658 -0.544
-2.824 0.411 2.561
3.498 7.465 5.530
ATOMIC_POSITIONS angstrom
Eu 0.000 0.000 0.000
S -1.018 5.267 3.773
Gd -0.087 3.143 2.270
Gd -1.949 7.391 5.275


Entry 25:
! EuGd2Sb (PBE, relaxed); values from VASP
! Formation energy without anion corrections ... -1.296 eV per formula unit
! Excess energy over the best structure of this formula in the dataset ... 189 meV/atom
! Raw total energy ... -10.964 eV per atom
&SYSTEM
  ibrav = 0, nat = 4, ntyp = 3
/
ATOMIC_SPECIES
Eu 151.96 Eu.upf
Sb 121.76 Sb.upf
Gd 157.25 Gd.upf
CELL_PARAMETERS angstrom
-3.071 -1.442 -4.293
-0.631 -5.287 -1.259
-4.831 -2.442 0.789
ATOMIC_POSITIONS angstrom
Eu 0.000 0.000 0.000
Sb -4.266 -4.585 -2.381
Gd -6.400 -6.878 -3.572
Gd -2.133 -2.293 -1.191


Entry 26:
! EuGd2Sb (PBE, relaxed); values from VASP
! Formation energy without anion corrections ... -2.054 eV per formula unit
! Excess energy over the best structure of this formula in the dataset ... 0 meV/atom
! Raw total energy ... -11.153 eV per atom
&SYSTEM
  ibrav = 0, nat = 4, ntyp = 3
/
ATOMIC_SPECIES
Eu 151.96 Eu.upf
Sb 121.76 Sb.upf
Gd 157.25 Gd.upf
CELL_PARAMETERS angstrom
-3.535 -0.878 -3.228
3.331 -0.156 -3.606
0.548 -4.829 0.714
ATOMIC_POSITIONS angstrom
Eu -1.768 -0.439 -1.614
Sb 0.172 -2.931 -3.060
Gd 0.274 -2.414 0.357
Gd 1.666 -0.078 -1.803


Entry 27:
! EuGdSb (PBE, relaxed); values from VASP
! Formation energy without anion corrections ... -2.133 eV per formula unit
! Raw total energy ... -10.204 eV per atom
&SYSTEM
  ibrav = 0, nat = 3, ntyp = 3
/
ATOMIC_SPECIES
Eu 151.96 Eu.upf
Sb 121.76 Sb.upf
Gd 157.25 Gd.upf
CELL_PARAMETERS angstrom
4.114 0.000 0.000
0.000 4.114 0.000
-2.057 -2.057 5.395
ATOMIC_POSITIONS angstrom
Eu 2.057 2.057 4.738
Sb 0.000 0.000 2.938
Gd 2.057 2.057 1.495


Entry 28:
! EuGdZnSb (PBE, relaxed); values from VASP
! Formation energy without anion corrections ... -2.226 eV per formula unit
! Raw total energy ... -7.994 eV per atom
&SYSTEM
  ibrav = 0, nat = 4, ntyp = 4
/
ATOMIC_SPECIES
Eu 151.96 Eu.upf
Sb 121.76 Sb.upf
Zn 65.41 Zn.upf
Gd 157.25 Gd.upf
CELL_PARAMETERS angstrom
-1.107 4.774 2.095
1.182 1.012 5.098
3.955 3.364 1.202
ATOMIC_POSITIONS angstrom
Eu 3.023 6.863 6.296
Sb 0.000 0.000 0.000
Zn 2.015 4.575 4.197
Gd 1.008 2.288 2.099


Entry 29:
! EuGdSc (PBE, relaxed); values from VASP
! E_form ... 0.167 eV/atom
! Excess energy over the best structure of this formula in the dataset ... 50 meV/atom
! Raw total energy ... -10.062 eV per atom
&SYSTEM
  ibrav = 0, nat = 3, ntyp = 3
/
ATOMIC_SPECIES
Eu 151.96 Eu.upf
Sc 44.96 Sc.upf
Gd 157.25 Gd.upf
CELL_PARAMETERS angstrom
-1.725 3.191 4.272
-3.755 -2.546 -3.290
0.047 -2.732 2.060
ATOMIC_POSITIONS angstrom
Eu 0.008 -0.461 0.347
Sc -2.394 0.829 2.090
Gd -3.047 -2.456 0.604


Entry 30:
! Eu2GdSc (PBE, relaxed); values from VASP
! E_form ... 0.208 eV/atom
! Raw total energy ... -10.032 eV per atom
&SYSTEM
  ibrav = 0, nat = 4, ntyp = 3
/
ATOMIC_SPECIES
Eu 151.96 Eu.upf
Sc 44.96 Sc.upf
Gd 157.25 Gd.upf
CELL_PARAMETERS angstrom
4.077 0.000 0.000
0.000 5.725 0.000
0.000 0.000 5.725
ATOMIC_POSITIONS angstrom
Eu 0.000 0.000 2.863
Eu 0.000 2.863 0.000
Sc 2.039 0.000 0.000
Gd 2.039 2.863 2.863


Entry 31:
! EuGdSc (PBE, relaxed); values from VASP
! E_form ... 0.116 eV/atom
! Excess energy over the best structure of this formula in the dataset ... 0 meV/atom
! Raw total energy ... -10.113 eV per atom
&SYSTEM
  ibrav = 0, nat = 3, ntyp = 3
/
ATOMIC_SPECIES
Eu 151.96 Eu.upf
Sc 44.96 Sc.upf
Gd 157.25 Gd.upf
CELL_PARAMETERS angstrom
3.606 0.000 0.000
0.000 3.606 0.000
-1.803 -1.803 7.364
ATOMIC_POSITIONS angstrom
Eu 0.000 0.000 0.078
Sc 1.803 1.803 2.568
Gd 0.000 0.000 4.719